(1)
The following is a DFT calculation (PBE-GGA) of a relaxed SmAl2Ni9 crystal.

```
SmAl2Ni9
1.0
-3.149 -2.519 -2.473
2.673 -6.778 3.501
-5.408 0.934 5.935
Sm Al Ni
2 4 18
Cartesian
-1.368 -2.922 4.718 Sm
0.000 0.000 0.000 Sm
1.008 -4.091 2.884 Al
-3.743 -1.753 6.553 Al
-1.733 -0.459 2.675 Al
-1.002 -5.385 6.761 Al
-0.238 -4.648 0.514 Ni
-4.278 -0.793 1.731 Ni
-2.734 -5.549 4.611 Ni
-3.150 -2.814 2.353 Ni
-6.063 -1.817 5.046 Ni
0.178 -6.547 1.917 Ni
-4.258 -3.538 4.503 Ni
-1.626 -4.825 2.461 Ni
-2.539 -1.509 0.246 Ni
-3.345 -6.854 6.718 Ni
-1.939 -7.190 2.921 Ni
-5.579 -2.480 2.759 Ni
-2.485 -3.938 0.303 Ni
-5.034 -5.733 5.377 Ni
-3.945 -1.173 4.042 Ni
-0.305 -5.883 4.205 Ni
-3.399 -4.425 6.661 Ni
-0.850 -2.630 1.587 Ni
```

## Properties
Formation energy from the elements in meV/atom: -354.0
Density of states at the Fermi level in states/eV/atom: 1.554



(2)
The following is a DFT calculation (PBE-GGA) of a relaxed Sm8Al2Ni crystal.

```
Sm8Al2Ni
1.0
5.079 0.000 0.000
0.000 6.750 0.327
-2.539 -2.467 8.952
Sm Al Ni
8 2 1
Cartesian
0.000 1.642 7.464 Sm
2.539 5.836 2.980 Sm
2.539 3.290 5.431 Sm
2.539 -0.884 8.692 Sm
0.000 0.993 3.848 Sm
0.000 -1.553 6.299 Sm
2.539 2.641 1.815 Sm
0.000 5.167 0.587 Sm
2.539 0.147 5.681 Al
0.000 4.136 3.598 Al
2.539 0.000 0.000 Ni
```

## Properties
Formation energy from the elements in meV/atom: -167.7
Density of states at the Fermi level in states/eV/atom: 0.993



(3)
The following is a DFT calculation (PBE-GGA) of a relaxed Sm3Al3Ni2 crystal.

```
Sm3Al3Ni2
1.0
5.497 0.000 0.000
0.000 8.057 0.000
0.000 0.000 15.169
Sm Al Ni
12 12 8
Cartesian
0.595 3.721 5.900 Sm
3.343 0.307 9.269 Sm
4.902 4.335 13.484 Sm
2.154 7.750 1.685 Sm
4.902 4.335 9.269 Sm
2.154 7.750 5.900 Sm
0.595 3.721 1.685 Sm
3.343 0.307 13.484 Sm
3.339 2.544 3.792 Sm
0.590 1.484 11.377 Sm
2.158 5.513 11.377 Sm
4.906 6.572 3.792 Sm
0.501 1.316 3.792 Al
3.249 2.713 11.377 Al
4.996 6.741 11.377 Al
2.248 5.344 3.792 Al
3.331 2.600 7.067 Al
0.583 1.428 8.101 Al
2.165 5.456 14.652 Al
4.914 6.629 0.517 Al
2.165 5.456 8.101 Al
4.914 6.629 7.067 Al
3.331 2.600 0.517 Al
0.583 1.428 14.652 Al
4.808 0.869 5.991 Ni
2.059 3.159 9.178 Ni
0.689 7.187 13.575 Ni
3.437 4.898 1.593 Ni
0.689 7.187 9.178 Ni
3.437 4.898 5.991 Ni
4.808 0.869 1.593 Ni
2.059 3.159 13.575 Ni
```

## Properties
Formation energy from the elements in meV/atom: -454.4
Density of states at the Fermi level in states/eV/atom: 0.905



(4)
The following is a DFT calculation (PBE-GGA) of a relaxed SmAlNi crystal.

```
SmAlNi
1.0
-3.477 3.963 1.072
1.030 -1.215 -5.138
-6.540 -5.751 0.049
Sm Al Ni
4 4 4
Cartesian
-2.399 -1.095 -2.995 Sm
-3.178 1.209 -0.969 Sm
-7.340 -2.452 -0.938 Sm
-5.172 -3.534 -2.974 Sm
-6.031 0.264 0.110 Al
-4.271 -1.741 -0.419 Al
-5.518 -0.340 -2.492 Al
0.435 -0.532 -4.319 Al
-1.421 1.585 -3.678 Ni
-0.160 0.168 -1.582 Ni
-0.729 -2.696 -5.081 Ni
-3.815 -5.410 -5.058 Ni
```

## Properties
Formation energy from the elements in meV/atom: -456.3
Density of states at the Fermi level in states/eV/atom: 0.709



(5)
The following is a DFT calculation (PBE-GGA) of a relaxed Sm2Al3Ni4 crystal.

```
Sm2Al3Ni4
1.0
-2.679 1.896 4.473
-1.376 -6.497 1.929
7.921 -1.146 1.790
Sm Al Ni
4 6 8
Cartesian
0.575 -3.839 1.972 Sm
3.290 -1.909 6.221 Sm
5.086 -0.705 3.345 Sm
-1.220 -5.042 4.847 Sm
0.000 0.000 0.000 Al
-2.028 -2.301 3.201 Al
1.802 -4.505 4.709 Al
0.724 -0.295 5.720 Al
2.063 -1.243 3.483 Al
3.142 -5.453 2.473 Al
3.930 -4.569 6.011 Ni
-1.404 -0.231 4.418 Ni
-0.064 -1.179 2.182 Ni
5.269 -5.517 3.774 Ni
0.886 -6.504 3.287 Ni
2.979 0.756 4.905 Ni
3.657 -3.318 3.597 Ni
0.209 -2.430 4.596 Ni
```

## Properties
Formation energy from the elements in meV/atom: -521.5
Density of states at the Fermi level in states/eV/atom: 0.749



(6)
The following is a DFT calculation (PBE-GGA) of a relaxed Sm3Al7Ni4 crystal.

```
Sm3Al7Ni4
1.0
-1.249 -0.399 -3.934
5.602 -4.424 -3.516
-2.602 -7.881 -0.560
Sm Al Ni
3 7 4
Cartesian
0.147 -2.498 -1.979 Sm
1.604 -10.205 -6.032 Sm
1.500 -6.152 -2.038 Sm
2.955 -7.960 -4.502 Al
-1.408 -7.396 -3.174 Al
-1.252 -9.340 -5.212 Al
-1.204 -4.744 -3.508 Al
3.003 -3.363 -2.798 Al
0.000 0.000 0.000 Al
3.158 -5.307 -4.836 Al
1.174 -3.989 -4.340 Ni
0.577 -8.714 -3.671 Ni
3.021 -6.971 -6.810 Ni
-1.270 -5.733 -1.201 Ni
```

## Properties
Formation energy from the elements in meV/atom: -566.5
Density of states at the Fermi level in states/eV/atom: 0.516



(7)
The following is a DFT calculation (PBE-GGA) of a relaxed Sm2Al2Ni15 crystal.

```
Sm2Al2Ni15
1.0
6.282 0.017 0.841
0.738 6.238 0.841
0.019 0.017 6.338
Sm Al Ni
2 2 15
Cartesian
2.461 2.192 2.803 Sm
4.578 4.079 5.216 Sm
0.721 0.643 0.822 Al
6.317 5.629 7.198 Al
3.141 0.008 0.420 Ni
0.009 0.008 3.169 Ni
0.369 3.119 0.420 Ni
0.528 4.421 2.446 Ni
4.663 1.834 0.841 Ni
1.848 0.017 4.732 Ni
2.357 4.421 0.841 Ni
4.453 0.017 2.446 Ni
0.229 1.834 4.732 Ni
1.439 4.108 4.838 Ni
4.611 4.108 2.054 Ni
4.247 0.958 4.838 Ni
5.599 2.163 3.181 Ni
2.428 2.163 5.965 Ni
2.792 5.314 3.181 Ni
```

## Properties
Formation energy from the elements in meV/atom: -298.3
Density of states at the Fermi level in states/eV/atom: 1.357



(8)
The following is a DFT calculation (PBE-GGA) of a relaxed SmAl4Ni2 crystal.

```
SmAl4Ni2
1.0
4.166 0.000 0.000
0.000 6.449 0.000
0.000 0.000 16.978
Ni Al Sm
8 16 4
Cartesian
1.041 4.842 9.147 Ni
3.124 1.607 7.831 Ni
3.124 1.618 16.321 Ni
1.041 4.831 0.658 Ni
1.041 6.257 13.288 Ni
3.124 0.192 3.691 Ni
3.124 3.033 12.180 Ni
1.041 3.416 4.798 Ni
1.041 1.756 11.843 Al
3.124 4.692 5.135 Al
3.124 4.981 13.625 Al
1.041 1.468 3.354 Al
1.041 4.339 11.668 Al
3.124 2.110 5.311 Al
3.124 1.114 13.800 Al
1.041 5.334 3.178 Al
1.041 1.145 9.048 Al
3.124 5.304 7.930 Al
3.124 4.369 16.419 Al
1.041 2.079 0.559 Al
1.041 3.251 7.224 Al
3.124 3.198 9.754 Al
3.124 0.027 1.265 Al
1.041 6.422 15.713 Al
3.124 6.341 10.817 Sm
1.041 0.108 6.161 Sm
1.041 3.116 14.650 Sm
3.124 3.332 2.328 Sm
```

## Properties
Formation energy from the elements in meV/atom: -561.8
Density of states at the Fermi level in states/eV/atom: 0.428



Number 1: density 7.87 g/cm³. Number 2: density 7.02 g/cm³. Number 3: density 6.42 g/cm³. Number 4: density 7.09 g/cm³. Number 5: density 6.91 g/cm³. Number 6: density 5.91 g/cm³. Number 7: density 8.27 g/cm³. Number 8: density 5.47 g/cm³.